Record 1
Compound: Er7In2Ru2
Source: Alexandria via LeMat-Bulk
Functional: PBE-GGA
Structure: relaxed

abc: 6.726 6.726 7.059
angles: 90.00 90.00 107.10
Element x y z (fractional)
Er: 0.000 0.000 0.000
Er: 0.000 0.500 0.250
Er: 0.000 0.500 0.750
Er: 0.500 0.000 0.250
Er: 0.500 0.000 0.750
Er: 0.500 0.500 0.242
Er: 0.500 0.500 0.758
In: 0.177 0.177 0.500
In: 0.823 0.823 0.500
Ru: 0.294 0.706 0.000
Ru: 0.706 0.294 0.000

final energy	-58.94	eV per cell
ΔE_f	-6.2	kcal/mol of atoms
total magnetic moment	0.00	μB per cell
SG	Cmmm

***

Record 2
Compound: NaAlH6
Source: Alexandria via LeMat-Bulk
Functional: PBE-GGA
Structure: relaxed

abc: 4.145 4.145 4.145
angles: 96.85 96.85 96.85
Element x y z (fractional)
Na: 0.000 0.000 0.000
Al: 0.500 0.500 0.500
H: 0.205 0.205 0.586
H: 0.205 0.586 0.205
H: 0.414 0.795 0.795
H: 0.586 0.205 0.205
H: 0.795 0.414 0.795
H: 0.795 0.795 0.414

final energy	-21.97	eV per cell
total magnetic moment	0.00	μB per cell
SG	R-3m

***

Record 3
Compound: NbAs2SO
Source: Alexandria via LeMat-Bulk
Functional: PBE-GGA
Structure: relaxed

abc: 5.129 5.129 3.870
angles: 90.00 90.00 90.00
Element x y z (fractional)
Nb: 0.000 0.000 0.000
As: 0.000 0.500 0.000
As: 0.500 0.000 0.000
S: 0.500 0.500 0.500
O: 0.000 0.000 0.500

final energy	-29.45	eV per cell
raw formation energy	-0.20	eV per atom
total magnetic moment	0.00	μB per cell
SG	P4/mmm

***

Record 4
Compound: Pm2EuTh
Source: Alexandria via LeMat-Bulk
Functional: PBE-GGA
Structure: relaxed

abc: 5.825 5.825 5.825
angles: 60.00 60.00 60.00
Element x y z (fractional)
Pm: 0.250 0.250 0.250
Pm: 0.750 0.750 0.750
Eu: 0.000 0.000 0.000
Th: 0.500 0.500 0.500

final energy	-26.30	eV per cell
ΔE_f	5.2	kcal/mol of atoms
total magnetic moment	6.47	μB per cell
SG	Fm-3m

***

Record 5
Compound: FeAs2Pt
Source: Alexandria via LeMat-Bulk
Functional: PBE-GGA
Structure: relaxed

abc: 4.405 4.405 4.405
angles: 60.00 60.00 60.00
Element x y z (fractional)
Fe: 0.000 0.000 0.000
As: 0.250 0.250 0.250
As: 0.750 0.750 0.750
Pt: 0.500 0.500 0.500

final energy	-22.80	eV per cell
ΔE_f	5.8	kcal/mol of atoms
total magnetic moment	0.00	μB per cell
SG	Fm-3m

***

Record 6
Compound: Pr2NdP3Rh12
Source: Alexandria via LeMat-Bulk
Functional: PBE-GGA
Structure: relaxed

abc: 6.794 6.794 6.794
angles: 84.33 84.33 84.33
Element x y z (fractional)
Pr: 0.127 0.127 0.127
Pr: 0.873 0.873 0.873
Nd: 0.500 0.500 0.500
P: 0.000 0.500 0.500
P: 0.500 0.000 0.500
P: 0.500 0.500 0.000
Rh: 0.135 0.135 0.588
Rh: 0.135 0.588 0.135
Rh: 0.163 0.678 0.678
Rh: 0.322 0.322 0.837
Rh: 0.322 0.837 0.322
Rh: 0.412 0.865 0.865
Rh: 0.588 0.135 0.135
Rh: 0.678 0.163 0.678
Rh: 0.678 0.678 0.163
Rh: 0.837 0.322 0.322
Rh: 0.865 0.412 0.865
Rh: 0.865 0.865 0.412

final energy	-124.04	eV per cell
ΔE_f	-6.7	kcal/mol of atoms
total magnetic moment	0.00	μB per cell
SG	R-3m

***

Record 7
Compound: SrRe2Ir
Source: Alexandria via LeMat-Bulk
Functional: PBE-GGA
Structure: relaxed

abc: 4.632 4.632 4.632
angles: 60.00 60.00 60.00
Element x y z (fractional)
Sr: 0.000 0.000 0.000
Re: 0.250 0.250 0.250
Re: 0.500 0.500 0.500
Ir: 0.750 0.750 0.750

final energy	-31.83	eV per cell
ΔE_f	20.8	kcal/mol of atoms
total magnetic moment	0.00	μB per cell
SG	F-43m

***

Record 8
Compound: Er3Sc2PaSe6
Source: Alexandria via LeMat-Bulk
Functional: PBE-GGA
Structure: relaxed

abc: 8.935 8.935 8.066
angles: 102.78 102.78 25.55
Element x y z (fractional)
Er: 0.000 0.000 0.000
Er: 0.338 0.338 0.668
Er: 0.662 0.662 0.332
Sc: 0.340 0.340 0.180
Sc: 0.660 0.660 0.820
Pa: 0.000 0.000 0.500
Se: 0.171 0.171 0.591
Se: 0.172 0.172 0.075
Se: 0.498 0.498 0.241
Se: 0.502 0.502 0.759
Se: 0.828 0.828 0.925
Se: 0.829 0.829 0.409

final energy	-75.51	eV per cell
raw formation energy	-1.56	eV per atom
total magnetic moment	0.34	μB per cell
SG	C2/m

***

Record 9
Compound: BaRe2Os
Source: Alexandria via LeMat-Bulk
Functional: PBE-GGA
Structure: relaxed

abc: 5.368 5.368 2.768
angles: 90.00 90.00 109.59
Element x y z (fractional)
Ba: 0.000 0.000 0.000
Re: 0.000 0.500 0.500
Re: 0.500 0.000 0.500
Os: 0.500 0.500 0.000

final energy	-31.16	eV per cell
ΔE_f	39.7	kcal/mol of atoms
total magnetic moment	0.00	μB per cell
SG	Cmmm

***

Record 10
Compound: HfSb2S
Source: Alexandria via LeMat-Bulk
Functional: PBE-GGA
Structure: relaxed

abc: 8.085 8.085 8.085
angles: 134.54 134.54 66.24
Element x y z (fractional)
Hf: 0.000 0.000 0.000
Hf: 0.750 0.250 0.500
Sb: 0.132 0.625 0.007
Sb: 0.375 0.382 0.507
Sb: 0.618 0.125 0.993
Sb: 0.875 0.868 0.493
S: 0.250 0.750 0.500
S: 0.500 0.500 0.000

final energy	-41.44	eV per cell
raw formation energy	0.40	eV per atom
total magnetic moment	0.00	μB per cell
SG	I-42d

***

Record 11
Compound: Ac4CdSiI2
Source: Alexandria via LeMat-Bulk
Functional: PBE-GGA
Structure: relaxed

abc: 8.352 4.612 8.359
angles: 90.00 107.90 90.00
Element x y z (fractional)
Ac: 0.208 0.000 0.223
Ac: 0.217 0.500 0.751
Ac: 0.783 0.500 0.249
Ac: 0.792 0.000 0.777
Cd: 0.000 0.000 0.500
Si: 0.000 0.500 0.000
I: 0.500 0.000 0.000
I: 0.500 0.500 0.500

final energy	-31.56	eV per cell
raw formation energy	-0.71	eV per atom
total magnetic moment	0.00	μB per cell
SG	P2/m

***

Record 12
Compound: SrLaSi2
Source: Alexandria via LeMat-Bulk
Functional: PBE-GGA
Structure: relaxed

abc: 5.293 5.293 5.293
angles: 60.00 60.00 60.00
Element x y z (fractional)
Sr: 0.000 0.000 0.000
La: 0.500 0.500 0.500
Si: 0.250 0.250 0.250
Si: 0.750 0.750 0.750

final energy	-18.53	eV per cell
raw formation energy	-0.27	eV per atom
total magnetic moment	0.00	μB per cell
SG	Fm-3m

***

Record 13
Compound: YInP2Cl
Source: Alexandria via LeMat-Bulk
Functional: PBE-GGA
Structure: relaxed

abc: 5.667 5.667 5.367
angles: 90.00 90.00 90.00
Element x y z (fractional)
Y: 0.000 0.000 0.000
In: 0.500 0.500 0.500
P: 0.000 0.500 0.000
P: 0.500 0.000 0.000
Cl: 0.000 0.000 0.500

final energy	-22.58	eV per cell
raw formation energy	-0.14	eV per atom
total magnetic moment	1.48	μB per cell
SG	P4/mmm

***

Record 14
Compound: RbTaFeGeTe
Source: Alexandria via LeMat-Bulk
Functional: PBE-GGA
Structure: relaxed

abc: 4.143 3.475 8.676
angles: 90.00 90.46 90.00
Element x y z (fractional)
Rb: 0.000 0.000 0.000
Ta: 0.510 0.000 0.582
Fe: 0.007 0.000 0.416
Ge: 0.011 0.500 0.640
Te: 0.505 0.500 0.312

final energy	-28.88	eV per cell
raw formation energy	0.03	eV per atom
total magnetic moment	1.90	μB per cell
SG	Pm

***

Record 15
Compound: Re2TcAs
Source: Alexandria via LeMat-Bulk
Functional: PBE-GGA
Structure: relaxed

abc: 5.079 5.079 2.848
angles: 101.13 101.13 117.09
Element x y z (fractional)
Re: 0.000 0.500 0.000
Re: 0.500 0.000 0.000
Tc: 0.000 0.000 0.500
As: 0.500 0.500 0.500

final energy	-38.07	eV per cell
ΔE_f	10.6	kcal/mol of atoms
total magnetic moment	0.00	μB per cell
SG	C2/m

***

Record 16
Compound: SrRhCl
Source: Alexandria via LeMat-Bulk
Functional: PBE-GGA
Structure: relaxed

abc: 8.509 8.509 4.174
angles: 90.00 90.00 150.70
Element x y z (fractional)
Sr: 0.112 0.888 0.750
Sr: 0.888 0.112 0.250
Rh: 0.461 0.539 0.750
Rh: 0.539 0.461 0.250
Cl: 0.311 0.689 0.750
Cl: 0.689 0.311 0.250

final energy	-27.99	eV per cell
raw formation energy	-1.04	eV per atom
total magnetic moment	0.00	μB per cell
SG	Cmcm

***

Record 17
Compound: MnAs2P
Source: Alexandria via LeMat-Bulk
Functional: PBE-GGA
Structure: relaxed

abc: 4.512 4.512 3.362
angles: 90.00 90.00 104.25
Element x y z (fractional)
Mn: 0.000 0.000 0.000
As: 0.000 0.500 0.500
As: 0.500 0.000 0.500
P: 0.500 0.500 0.000

final energy	-22.44	eV per cell
ΔE_f	8.3	kcal/mol of atoms
total magnetic moment	3.43	μB per cell
SG	Cmmm

***

Record 18
Compound: ZrReNi2
Source: Alexandria via LeMat-Bulk
Functional: PBE-GGA
Structure: relaxed

abc: 3.180 3.199 5.773
angles: 90.00 90.00 90.00
Element x y z (fractional)
Zr: 0.000 0.000 0.000
Re: 0.500 0.500 0.314
Ni: 0.000 0.000 0.519
Ni: 0.500 0.500 0.744

final energy	-32.83	eV per cell
ΔE_f	-1.6	kcal/mol of atoms
total magnetic moment	0.00	μB per cell
SG	Pmm2

***

Record 19
Compound: ThTl2Pt3O12
Source: Alexandria via LeMat-Bulk
Functional: PBE-GGA
Structure: relaxed

abc: 6.742 6.742 6.742
angles: 65.26 65.26 65.26
Element x y z (fractional)
Th: 0.000 0.000 0.000
Tl: 0.377 0.377 0.377
Tl: 0.623 0.623 0.623
Pt: 0.000 0.000 0.500
Pt: 0.000 0.500 0.000
Pt: 0.500 0.000 0.000
O: 0.136 0.740 0.740
O: 0.147 0.147 0.577
O: 0.147 0.577 0.147
O: 0.260 0.260 0.864
O: 0.260 0.864 0.260
O: 0.423 0.853 0.853
O: 0.577 0.147 0.147
O: 0.740 0.136 0.740
O: 0.740 0.740 0.136
O: 0.853 0.423 0.853
O: 0.853 0.853 0.423
O: 0.864 0.260 0.260

final energy	-105.69	eV per cell
raw formation energy	-0.88	eV per atom
total magnetic moment	1.65	μB per cell
SG	R-3m

***

Record 20
Compound: K2In6SnHg
Source: Alexandria via LeMat-Bulk
Functional: PBE-GGA
Structure: relaxed

abc: 14.012 14.012 14.012
angles: 32.71 32.71 32.71
Element x y z (fractional)
K: 0.151 0.151 0.151
K: 0.291 0.291 0.291
K: 0.709 0.709 0.709
K: 0.849 0.849 0.849
In: 0.146 0.594 0.594
In: 0.187 0.807 0.807
In: 0.193 0.193 0.813
In: 0.193 0.813 0.193
In: 0.406 0.406 0.854
In: 0.406 0.854 0.406
In: 0.594 0.146 0.594
In: 0.594 0.594 0.146
In: 0.807 0.187 0.807
In: 0.807 0.807 0.187
In: 0.813 0.193 0.193
In: 0.854 0.406 0.406
Sn: 0.378 0.378 0.378
Sn: 0.622 0.622 0.622
Hg: 0.000 0.000 0.000
Hg: 0.500 0.500 0.500

final energy	-46.24	eV per cell
ΔE_f	-0.4	kcal/mol of atoms
total magnetic moment	0.00	μB per cell
SG	R-3m